Crystalline LiHo4ErSe8 at its relaxed geometry. Source: Alexandria via LeMat-Bulk, functional PBE-GGA.

Geometry as POSCAR:
```
LiHo4ErSe8
1.0
-3.8311 -1.6141 -7.2139
-6.1834 -5.5689 -0.2750
-7.8296 2.5293 -1.2127
Li Ho Er Se
1 4 1 8
direct
0.3750 0.3750 0.8748
0.6248 0.6248 0.1257
0.0052 0.4842 0.5053
0.4842 0.0052 0.5053
0.0052 0.0052 0.5053
0.0054 0.0054 0.9839
0.2442 0.7660 0.7456
0.7660 0.2442 0.7456
0.2442 0.2442 0.7456
0.2448 0.2448 0.2656
0.7593 0.2238 0.2576
0.2238 0.7593 0.2576
0.7593 0.7593 0.2576
0.7585 0.7585 0.7246
```

raw formation energy = -1.78 eV per atom
density of states at the Fermi level = 0.000 states/eV/atom
V = 29.1 A^3/atom


Crystalline LiHo2ErSe4 at its relaxed geometry. Source: Alexandria via LeMat-Bulk, functional PBE-GGA.

Geometry as POSCAR:
```
LiHo2ErSe4
1.0
4.0143 0.0000 0.0000
0.0000 6.9714 0.1334
0.0000 -2.4269 6.5408
Li Ho Er Se
1 2 1 4
direct
0.0000 0.0000 0.0000
0.5000 0.0000 0.5000
0.0000 0.5000 0.5000
0.5000 0.5000 0.0000
0.5000 0.2437 0.2426
0.5000 0.7563 0.7574
0.0000 0.2459 0.7563
0.0000 0.7541 0.2437
```

raw formation energy = -1.72 eV per atom
density of states at the Fermi level = 0.325 states/eV/atom
V = 23.0 A^3/atom


Crystalline LiHoEr2Se5 at its relaxed geometry. Source: Alexandria via LeMat-Bulk, functional PBE-GGA.

Geometry as POSCAR:
```
LiHoEr2Se5
1.0
4.0300 0.0000 0.0000
-2.0150 8.4226 0.0000
0.0000 0.0000 12.3939
Li Ho Er Se
2 2 4 10
direct
0.5119 0.0238 0.9814
0.4881 0.9762 0.4814
0.8046 0.6092 0.5007
0.1954 0.3908 0.0007
0.8752 0.7504 0.7884
0.1079 0.2158 0.6836
0.1248 0.2496 0.2884
0.8921 0.7842 0.1836
0.3624 0.7247 0.0051
0.6937 0.3875 0.8393
0.4997 0.9994 0.7860
0.2854 0.5708 0.6629
0.9548 0.9096 0.5765
0.6377 0.2753 0.5051
0.3063 0.6125 0.3393
0.5003 0.0006 0.2860
0.7146 0.4292 0.1629
0.0452 0.0904 0.0765
```

raw formation energy = -1.66 eV per atom
V = 23.4 A^3/atom


Crystalline Li4HoEr3Se8 at its relaxed geometry. Source: Alexandria via LeMat-Bulk, functional PBE-GGA.

Geometry as POSCAR:
```
Li4HoEr3Se8
1.0
8.0809 0.0000 0.0000
0.0000 7.9946 -0.0694
-4.0405 -4.0359 5.7173
Li Ho Er Se
4 1 3 8
direct
0.5000 0.0000 0.0000
0.5000 0.0000 0.5000
0.0000 0.0000 0.0000
0.0000 0.0000 0.5000
0.0000 0.5000 0.0000
0.5000 0.5000 0.0000
0.5000 0.5000 0.5000
0.0000 0.5000 0.5000
0.2510 0.7517 0.0008
0.2510 0.7517 0.5021
0.2495 0.2487 0.4991
0.7497 0.7517 0.0008
0.2503 0.2483 0.9992
0.7505 0.7513 0.5009
0.7490 0.2483 0.4979
0.7490 0.2483 0.9992
```

raw formation energy = -1.70 eV per atom
density of states at the Fermi level = 0.000 states/eV/atom
V = 22.9 A^3/atom


Repeat the third record exactly.
Crystalline LiHoEr2Se5 at its relaxed geometry. Source: Alexandria via LeMat-Bulk, functional PBE-GGA.

Geometry as POSCAR:
```
LiHoEr2Se5
1.0
4.0300 0.0000 0.0000
-2.0150 8.4226 0.0000
0.0000 0.0000 12.3939
Li Ho Er Se
2 2 4 10
direct
0.5119 0.0238 0.9814
0.4881 0.9762 0.4814
0.8046 0.6092 0.5007
0.1954 0.3908 0.0007
0.8752 0.7504 0.7884
0.1079 0.2158 0.6836
0.1248 0.2496 0.2884
0.8921 0.7842 0.1836
0.3624 0.7247 0.0051
0.6937 0.3875 0.8393
0.4997 0.9994 0.7860
0.2854 0.5708 0.6629
0.9548 0.9096 0.5765
0.6377 0.2753 0.5051
0.3063 0.6125 0.3393
0.5003 0.0006 0.2860
0.7146 0.4292 0.1629
0.0452 0.0904 0.0765
```

raw formation energy = -1.66 eV per atom
V = 23.4 A^3/atom